Entry 1:
Here is ThMgCuPd after structural relaxation from Alexandria. Energies are from PBE.

a = 7.9838 Å, b = 4.5971 Å, c = 5.2242 Å
α = 90.00°, β = 120.49°, γ = 90.00°
Space group Cm (No. 8)
Unique sites:
Th 0.0000 0.0000 0.0000 [2 per cell]
Mg 0.9999 0.5000 0.4999 [2 per cell]
Cu 0.2829 0.5000 0.3486 [2 per cell]
Pd 0.2202 0.0000 0.6610 [2 per cell]

**Fermi-level density of states**: 2.62 states/eV/f.u.
**Formation enthalpy at 0 K**: -447 meV/atom
**Spin magnetization**: 0.00 μB per formula unit


Entry 2:
Here is Rb3CeNd3Se8 after structural relaxation from Alexandria. Energies are from PBE.

a = 8.6609 Å, b = 8.6609 Å, c = 24.4211 Å
α = 90.00°, β = 90.00°, γ = 120.00°
Space group R-3m (No. 166, hexagonal axes)
Unique sites:
Rb 0.0000 0.5000 0.0000 [9 per cell]
Ce 0.0000 0.0000 0.5000 [3 per cell]
Nd 0.0000 0.5000 0.5000 [9 per cell]
Se 0.0000 0.0000 0.2335 [6 per cell]
Se 0.0092 0.5046 0.2311 [18 per cell]

**Uncorrected formation energy**: -1.716 eV/atom
**Spin magnetization**: 0.00 μB per formula unit


Entry 3:
Here is YBePt3 after structural relaxation from Alexandria. Energies are from PBE.

a = 4.5970 Å, b = 4.5970 Å, c = 9.0848 Å
α = 90.00°, β = 90.00°, γ = 120.00°
Space group P6_3/mmc (No. 194)
Unique sites:
Y 0.3333 0.6667 0.2500 [2 per cell]
Be 0.0000 0.0000 0.0000 [2 per cell]
Pt 0.0000 0.0000 0.2500 [2 per cell]
Pt 0.3333 0.6667 0.5754 [4 per cell]

**Fermi-level density of states**: 2.66 states/eV/f.u.
**Formation enthalpy at 0 K**: -681 meV/atom
**Spin magnetization**: 0.00 μB per formula unit